{"formula": "CsTl2CdHg4", "functional": "PBE", "state": "optimized geometry", "lattice_angstrom": [[5.169, 0.000, 0.000], [2.585, 4.477, 0.000], [2.585, 1.492, 11.605]], "species": ["Cs", "Tl", "Tl", "Cd", "Hg", "Hg", "Hg", "Hg"], "frac_coords": [[0.000, 0.000, 0.000], [0.766, 0.766, 0.701], [0.234, 0.234, 0.299], [0.500, 0.500, 0.500], [0.403, 0.403, 0.790], [0.863, 0.863, 0.410], [0.137, 0.137, 0.590], [0.597, 0.597, 0.210]], "delta_e_f_ev_per_atom": -0.100}

***

{"formula": "Li3CdSe2", "functional": "PBE", "state": "optimized geometry", "lattice_angstrom": [[-2.015, 3.637, -5.118], [-4.344, -4.237, -1.301], [-0.942, 3.360, 7.007]], "species": ["Li", "Li", "Li", "Li", "Li", "Li", "Cd", "Cd", "Se", "Se", "Se", "Se"], "frac_coords": [[0.500, 0.250, 0.000], [0.500, 0.750, 0.000], [0.769, 0.019, 0.538], [0.231, 0.481, 0.462], [0.231, 0.981, 0.462], [0.769, 0.519, 0.538], [0.000, 0.500, 0.000], [0.000, 0.000, 0.000], [0.551, 0.356, 0.711], [0.839, 0.144, 0.289], [0.161, 0.856, 0.711], [0.449, 0.644, 0.289]]}

***

{"formula": "AcLa2Au", "functional": "PBE", "state": "optimized geometry", "lattice_angstrom": [[3.976, 0.000, 0.000], [1.988, 3.443, 0.000], [1.988, 1.148, 10.501]], "species": ["Ac", "Au", "La", "La"], "frac_coords": [[0.500, 0.500, 0.500], [0.000, 0.000, 0.000], [0.267, 0.267, 0.200], [0.733, 0.733, 0.800]], "relative_energy_mev_per_atom": 136, "delta_e_f_ev_per_atom": -0.290}

***

{"formula": "Sm2MnTl", "functional": "PBE", "state": "optimized geometry", "lattice_angstrom": [[-0.301, 3.650, 0.473], [-3.303, -0.477, 1.580], [3.421, -0.621, 6.966]], "species": ["Tl", "Mn", "Sm", "Sm"], "frac_coords": [[0.500, 0.500, 0.500], [0.500, 0.500, 0.000], [0.000, 0.000, 0.771], [0.000, 0.000, 0.229]], "relative_energy_mev_per_atom": 0, "delta_e_f_ev_per_atom": -0.049}

***

{"formula": "IrIN2Cl", "functional": "PBE", "state": "optimized geometry", "lattice_angstrom": [[3.732, 0.000, 0.000], [0.000, 3.732, 0.000], [0.000, 0.000, 7.891]], "species": ["I", "N", "N", "Ir", "Cl"], "frac_coords": [[0.000, 0.000, 0.500], [0.000, 0.500, 0.000], [0.500, 0.000, 0.000], [0.500, 0.500, 0.500], [0.000, 0.000, 0.000]], "relative_energy_mev_per_atom": 1609}

***

{"formula": "LiTb2TmIn4", "functional": "PBE", "state": "optimized geometry", "lattice_angstrom": [[-4.127, 3.097, 0.608], [-2.895, -0.344, 4.300], [2.669, 6.838, 5.483]], "species": ["Li", "Tb", "Tb", "Tm", "In", "In", "In", "In"], "frac_coords": [[0.500, 0.500, 0.500], [0.754, 0.754, 0.738], [0.246, 0.246, 0.262], [0.000, 0.000, 0.000], [0.376, 0.376, 0.871], [0.874, 0.874, 0.378], [0.126, 0.126, 0.622], [0.624, 0.624, 0.129]], "delta_e_f_ev_per_atom": -0.414}

***

The records above give, respectively, VASP energy values of -8.51; -37.12; -18.40; -21.17; -16.22; -29.92 eV per cell.